(1)
Density functional theory data (PBE) for an optimized crystal structure of TcBSb2S.

N(E_F) (states/eV per atom): 0.76
Raw total energy (eV for the cell shown): -24.50
Magnetization (μB/cell): 1.982
Volume (Å³/atom): 18.5

```
TcBSb2S
1.0
-0.1657 -1.3096 4.8503
2.0745 -2.9383 -0.7225
4.1425 2.7101 0.8733
Sb S B Tc
2 1 1 1
Direct
0.0000 0.0000 0.5000 Sb
0.5000 0.0000 0.0000 Sb
0.0000 0.5000 0.0000 S
0.0000 0.0000 0.0000 B
0.5000 0.5000 0.5000 Tc
```

=====

(2)
Density functional theory data (PBE) for an optimized crystal structure of TlB2Sb2S6.

N(E_F) (states/eV per atom): 0.26
Raw total energy (eV for the cell shown): -51.04
Magnetization (μB/cell): 0.000
Volume (Å³/atom): 32.0

```
TlB2Sb2S6
1.0
-5.7737 -5.7924 4.5790
-5.9877 -3.6604 -2.7137
6.3216 -4.2500 2.6874
Tl B Sb S
1 2 2 6
Direct
0.5000 0.0000 0.5000 Tl
0.1536 0.6954 0.7618 B
0.8464 0.3046 0.2382 B
0.8081 0.3850 0.9149 Sb
0.1919 0.6150 0.0851 Sb
0.3525 0.6248 0.8476 S
0.9728 0.3816 0.1554 S
0.0870 0.8304 0.6148 S
0.0272 0.6184 0.8446 S
0.9130 0.1696 0.3852 S
0.6475 0.3752 0.1524 S
```

=====

(3)
Density functional theory data (PBE) for an optimized crystal structure of Tl2BSbS4.

Raw total energy (eV for the cell shown): -68.51
Magnetization (μB/cell): 0.000
Volume (Å³/atom): 27.7

```
Tl2BSbS4
1.0
-2.0021 -0.3157 -5.5189
6.5872 -5.5171 -2.0741
-4.8842 -6.6404 2.1517
Tl B Sb S
4 2 2 8
Direct
0.4553 0.3382 0.2346 Tl
0.4553 0.3382 0.7654 Tl
0.9553 0.6618 0.7346 Tl
0.9553 0.6618 0.2654 Tl
0.5068 0.8951 0.5000 B
0.0068 0.1049 0.0000 B
0.9814 0.1615 0.5000 Sb
0.4814 0.8385 0.0000 Sb
0.3429 0.0990 0.0000 S
0.8429 0.9010 0.5000 S
0.4050 0.1080 0.5000 S
0.9050 0.8920 0.0000 S
0.4267 0.7810 0.6818 S
0.9267 0.2190 0.1818 S
0.9267 0.2190 0.8182 S
0.4267 0.7810 0.3182 S
```

=====

(4)
Density functional theory data (PBE) for an optimized crystal structure of Zn2BSbS.

N(E_F) (states/eV per atom): 0.86
Raw total energy (eV for the cell shown): -10.62
Magnetization (μB/cell): 0.416
Volume (Å³/atom): 27.9

```
Zn2BSbS
1.0
-0.4539 1.8905 -4.8147
1.1799 -4.6453 -1.9352
-5.0349 -1.2690 -0.0237
Sb Zn B S
1 2 1 1
Direct
0.0000 0.0000 0.0000 Sb
0.0000 0.0000 0.5000 Zn
0.5000 0.0000 0.0000 Zn
0.5000 0.5000 0.5000 B
0.0000 0.5000 0.0000 S
```

=====

(5)
Density functional theory data (PBE) for an optimized crystal structure of Sc2BS.

Energy relative to the lowest polymorph listed for this composition (meV/atom): 210
N(E_F) (states/eV per atom): 0.74
Raw total energy (eV for the cell shown): -25.10
Magnetization (μB/cell): 0.000
Volume (Å³/atom): 20.9

```
Sc2BS
1.0
2.0879 0.0000 7.3861
-1.0440 1.8082 7.3861
-1.0440 -1.8082 7.3861
Sc S B
2 1 1
Direct
0.8923 0.8923 0.8923 Sc
0.1077 0.1077 0.1077 Sc
0.0000 0.0000 0.0000 S
0.5000 0.5000 0.5000 B
```

=====

(6)
Density functional theory data (PBE) for an optimized crystal structure of Sc3BS2.

N(E_F) (states/eV per atom): 0.35
Raw total energy (eV for the cell shown): -170.00
Magnetization (μB/cell): 0.000
Volume (Å³/atom): 17.0

```
Sc3BS2
1.0
6.2068 0.0432 -1.1530
-2.3611 5.7403 -1.1530
-0.0336 -0.0505 11.4293
Sc B S
12 4 8
Direct
0.1614 0.6869 0.8235 Sc
0.6622 0.1366 0.8235 Sc
0.0886 0.0631 0.6765 Sc
0.5878 0.6134 0.6765 Sc
0.0268 0.5268 0.5000 Sc
0.4732 0.9732 0.5000 Sc
0.3866 0.4122 0.3235 Sc
0.9369 0.9114 0.3235 Sc
0.8634 0.3378 0.1765 Sc
0.3131 0.8386 0.1765 Sc
0.2232 0.2232 0.0000 Sc
0.7768 0.7768 0.0000 Sc
0.9164 0.9164 0.8327 B
0.3336 0.8336 0.6673 B
0.1664 0.6664 0.3327 B
0.0836 0.0836 0.1673 B
0.9970 0.4970 0.9941 S
0.4194 0.4194 0.8388 S
0.8306 0.3306 0.6612 S
0.2530 0.2530 0.5059 S
0.7470 0.7470 0.4941 S
0.6694 0.1694 0.3388 S
0.5806 0.5806 0.1612 S
0.5030 0.0030 0.0059 S
```

=====

What is the raw total energy in the fifth record?
-25.10 eV for the cell shown

=====

raw total energy of number 6 (Sc3BS2)?
-170.00 eV for the cell shown

=====

Which of these has the lowest volume?
Sc3BS2